Entry 1:
This record from Alexandria via LeMat-Bulk describes an optimized crystal structure of PmYPuSn. The functional is GGA-PBE.

Properties
volume: 28.5 Å³ per atom
E_form: -0.11 eV/atom

abc: 5.4416 5.4416 5.4416
angles: 60.00 60.00 60.00
Positions (direct):
Pm 0.0000 0.0000 0.0000
Y 0.7500 0.7500 0.7500
Pu 0.2500 0.2500 0.2500
Sn 0.5000 0.5000 0.5000


Entry 2:
This record from Alexandria via LeMat-Bulk describes an optimized crystal structure of Ta2IrS. The functional is GGA-PBE.

Properties
volume: 17.1 Å³ per atom
formation energy (no corrections): -0.0956 eV/atom

abc: 5.6497 5.6497 5.6497
angles: 105.84 105.84 117.01
Positions (direct):
Ta 0.1011 0.6250 0.9761
Ta 0.3750 0.3511 0.4761
Ta 0.6489 0.1250 0.0239
Ta 0.8750 0.8989 0.5239
Ir 0.2500 0.7500 0.5000
Ir 0.5000 0.5000 0.0000
S 0.0000 0.0000 0.0000
S 0.7500 0.2500 0.5000


Entry 3:
This record from Alexandria via LeMat-Bulk describes an optimized crystal structure of Tb2Si2NiRh5. The functional is GGA-PBE.

Properties
volume: 16.2 Å³ per atom
formation energy (no corrections): -0.7644 eV/atom

abc: 9.6906 9.6906 3.4451
angles: 90.00 90.00 90.00
Positions (direct):
Tb 0.1742 0.3258 0.0000
Tb 0.3258 0.8258 0.0000
Tb 0.6742 0.1742 0.0000
Tb 0.8258 0.6742 0.0000
Si 0.1264 0.6264 0.0000
Si 0.3736 0.1264 0.0000
Si 0.6264 0.8736 0.0000
Si 0.8736 0.3736 0.0000
Ni 0.0000 0.0000 0.0000
Ni 0.5000 0.5000 0.0000
Rh 0.0000 0.5000 0.5000
Rh 0.0671 0.7909 0.5000
Rh 0.2091 0.0671 0.5000
Rh 0.2909 0.5671 0.5000
Rh 0.4329 0.2909 0.5000
Rh 0.5000 0.0000 0.5000
Rh 0.5671 0.7091 0.5000
Rh 0.7091 0.4329 0.5000
Rh 0.7909 0.9329 0.5000
Rh 0.9329 0.2091 0.5000


Entry 4:
This record from Alexandria via LeMat-Bulk describes an optimized crystal structure of PrGdTmCd. The functional is GGA-PBE.

Properties
volume: 29.6 Å³ per atom
E_form: -0.05 eV/atom

abc: 5.5137 5.5137 5.5137
angles: 60.00 60.00 60.00
Positions (direct):
Pr 0.0000 0.0000 0.0000
Gd 0.5000 0.5000 0.5000
Tm 0.2500 0.2500 0.2500
Cd 0.7500 0.7500 0.7500